Entry 1:
Entry from Alexandria: an optimized crystal structure of KVCdRe2 (PBE).

Summary:
- M_tot (μB per formula unit) = 4.95
- Fermi-level density of states (states/eV/atom) = 1.4852
- raw total energy (eV per atom) = -4.265
- formation energy (eV per formula unit) = 14.70
- ρ (g/cm³) = 7.139

The structure in POSCAR format:
```
KVCdRe2
1.0
5.049 0.000 0.000
0.000 5.049 0.000
0.000 0.000 5.246
K V Cd Re
1 1 1 2
Direct
0.000 0.000 0.000
0.500 0.500 0.000
0.000 0.000 0.500
0.000 0.500 0.500
0.500 0.000 0.500
```

=====

Entry 2:
Entry from Alexandria: an optimized crystal structure of KCd3Rh (PBE).

Summary:
- M_tot (μB per formula unit) = 0.00
- Fermi-level density of states (states/eV/atom) = 0.4567
- raw total energy (eV per atom) = -2.230
- E above lowest polymorph (meV/atom) = 124
- formation energy (eV per formula unit) = 0.04
- ρ (g/cm³) = 6.851

The structure in POSCAR format:
```
KCd3Rh
1.0
8.583 0.000 0.000
0.000 5.630 0.000
-5.073 0.000 9.615
K Cd Rh
4 12 4
Direct
0.188 0.054 0.084
0.188 0.446 0.584
0.812 0.554 0.416
0.812 0.946 0.916
0.010 0.541 0.200
0.010 0.959 0.700
0.365 0.186 0.902
0.365 0.314 0.402
0.386 0.556 0.156
0.386 0.944 0.656
0.614 0.056 0.344
0.614 0.444 0.844
0.635 0.686 0.598
0.635 0.814 0.098
0.990 0.041 0.300
0.990 0.459 0.800
0.318 0.689 0.872
0.318 0.811 0.372
0.682 0.189 0.628
0.682 0.311 0.128
```